(1)
Compound: Ho5Bi2Te5
Source: Alexandria
Functional: PBE-GGA
Structure: optimized geometry

Values from the calculation:
The calculation puts the density of states at the Fermi level at 8.31 states/eV/cell. Its total moment is 0.0 μB per cell. The value obtained for the uncorrected formation energy is -1.0584 eV per atom.

The structure in CIF format:
```
data_Ho5Bi2Te5
_cell_length_a 14.479
_cell_length_b 4.124
_cell_length_c 13.387
_cell_angle_alpha 90.00
_cell_angle_beta 102.47
_cell_angle_gamma 90.00
_symmetry_space_group_name_H-M 'C 1 2/m 1'
_symmetry_Int_Tables_number 12
loop_
_symmetry_equiv_pos_as_xyz
'x,y,z'
'-x,-y,-z'
'-x,y,-z'
'x,-y,z'
'x+1/2,y+1/2,z'
'-x+1/2,-y+1/2,-z'
'-x+1/2,y+1/2,-z'
'x+1/2,-y+1/2,z'
loop_
_atom_site_label
_atom_site_type_symbol
_atom_site_fract_x
_atom_site_fract_y
_atom_site_fract_z
Ho1 Ho 0.000 0.000 0.000
Ho2 Ho 0.119 0.000 0.424
Ho3 Ho 0.205 0.500 0.818
Bi1 Bi 0.030 0.000 0.779
Te1 Te 0.000 0.500 0.500
Te2 Te 0.160 0.500 0.046
Te3 Te 0.247 0.500 0.353
```

(2)
Compound: SrMnAsSe2
Source: Alexandria
Functional: PBE-GGA
Structure: optimized geometry

Values from the calculation:
The calculation puts the density of states at the Fermi level at 2.14 states/eV/cell. Its total moment is 3.0 μB per cell. The calculation puts the polymorph energy (0 for the lowest one) at 0 meV/atom. The value obtained for the uncorrected formation energy is -0.6613 eV per atom.

The structure in CIF format:
```
data_SrMnAsSe2
_cell_length_a 5.095
_cell_length_b 5.095
_cell_length_c 4.675
_cell_angle_alpha 90.00
_cell_angle_beta 90.00
_cell_angle_gamma 90.00
_symmetry_space_group_name_H-M 'P 4/m m m'
_symmetry_Int_Tables_number 123
_symmetry_space_group_name_Hall '-P 4 2'
loop_
_atom_site_label
_atom_site_type_symbol
_atom_site_fract_x
_atom_site_fract_y
_atom_site_fract_z
Sr1 Sr 0.000 0.000 0.000
Mn1 Mn 0.500 0.500 0.500
As1 As 0.500 0.500 0.000
Se1 Se 0.000 0.500 0.500
```

(3)
Compound: PrIn3Pt
Source: Alexandria
Functional: PBE-GGA
Structure: optimized geometry

Values from the calculation:
The calculation puts the density of states at the Fermi level at 8.88 states/eV/cell. Its total moment is 0.0 μB per cell. The formation energy is -0.588 eV per atom. The calculation puts the polymorph energy (0 for the lowest one) at 13 meV/atom.

The structure in CIF format:
```
data_PrIn3Pt
_cell_length_a 9.081
_cell_length_b 4.523
_cell_length_c 11.864
_cell_angle_alpha 90.00
_cell_angle_beta 90.00
_cell_angle_gamma 90.00
_symmetry_space_group_name_H-M 'P n m a'
_symmetry_Int_Tables_number 62
loop_
_symmetry_equiv_pos_as_xyz
'x,y,z'
'-x,-y,-z'
'-x+1/2,-y,z+1/2'
'x+1/2,y,-z+1/2'
'x+1/2,-y+1/2,-z+1/2'
'-x+1/2,y+1/2,z+1/2'
'-x,y+1/2,-z'
'x,-y+1/2,z'
loop_
_atom_site_label
_atom_site_type_symbol
_atom_site_fract_x
_atom_site_fract_y
_atom_site_fract_z
Pr1 Pr 0.195 0.250 0.010
In1 In 0.064 0.250 0.587
In2 In 0.106 0.750 0.813
In3 In 0.143 0.750 0.212
Pt1 Pt 0.100 0.250 0.355
```